(1)
Here is an optimized crystal structure of LaHf2Ga from the Alexandria database. Energies are from PBE.

Calculated values
Energy of formation: 0.22 eV/atom
DOS at the Fermi energy: 1.685 states/eV per atom

Unit cell a=4.3721 b=4.3721 c=10.8201 alpha=78.34 beta=78.34 gamma=90.00
With the nearest neighbours (Å) after each atom.
Fractional positions:
Hf: 0.6111 0.1250 0.2500  2 Ga 3.00, 4 Hf 3.01-3.18, 2 La 3.04
Hf: 0.8750 0.8611 0.7500  2 Ga 3.00, 4 Hf 3.01-3.18, 2 La 3.04
La: 0.7500 0.2500 0.5000  4 Hf 3.04, 4 Ga 3.09
Hf: 0.1389 0.6250 0.2500  2 Ga 3.00, 4 Hf 3.01-3.18, 2 La 3.04
La: 0.0000 0.0000 0.0000  4 Hf 3.04, 4 Ga 3.09
Hf: 0.3750 0.3889 0.7500  2 Ga 3.00, 4 Hf 3.01-3.18, 2 La 3.04
Ga: 0.5000 0.5000 0.0000  4 Hf 3.00, 4 La 3.09
Ga: 0.2500 0.7500 0.5000  4 Hf 3.00, 4 La 3.09

=====

(2)
Here is an optimized crystal structure of La2Hf2Ga from the Alexandria database. Energies are from PBE.

Calculated values
Energy of formation: 0.02 eV/atom
DOS at the Fermi energy: 0.917 states/eV per atom

Unit cell a=7.3801 b=7.3801 c=4.9613 alpha=90.00 beta=90.00 gamma=90.00
With the nearest neighbours (Å) after each atom.
Fractional positions:
Ga: 0.5000 0.5000 0.0000  4 Hf 2.84
La: 0.6637 0.8363 0.5000  6 Hf 3.19-3.36, 1 La 3.42
Hf: 0.3564 0.8564 0.0000  2 Ga 2.84, 1 Hf 3.00
Hf: 0.8564 0.6436 0.0000  2 Ga 2.84, 1 Hf 3.00
La: 0.1637 0.6637 0.5000  6 Hf 3.19-3.36, 1 La 3.42
Hf: 0.6436 0.1436 0.0000  2 Ga 2.84, 1 Hf 3.00
Ga: 0.0000 0.0000 0.0000  4 Hf 2.84
La: 0.3363 0.1637 0.5000  6 Hf 3.19-3.36, 1 La 3.42
La: 0.8363 0.3363 0.5000  6 Hf 3.19-3.36, 1 La 3.42
Hf: 0.1436 0.3564 0.0000  2 Ga 2.84, 1 Hf 3.00

=====

(3)
Here is an optimized crystal structure of LaHfGa from the Alexandria database. Energies are from PBE.

Calculated values
Energy of formation: -0.34 eV/atom
DOS at the Fermi energy: 1.108 states/eV per atom

Unit cell a=4.3792 b=4.3792 c=8.1228 alpha=90.00 beta=90.00 gamma=90.00
With the nearest neighbours (Å) after each atom.
Fractional positions:
Hf: 0.0000 0.0000 0.5000  4 Ga 2.89, 4 Hf 3.10
La: 0.0000 0.5000 0.8448  5 Ga 3.23-3.44, 4 Hf 3.55
Hf: 0.5000 0.5000 0.5000  4 Ga 2.89, 4 Hf 3.10
Ga: 0.0000 0.5000 0.2681  4 Hf 2.89, 4 La 3.23
La: 0.5000 0.0000 0.1552  5 Ga 3.23-3.44, 4 Hf 3.55
Ga: 0.5000 0.0000 0.7319  4 Hf 2.89, 4 La 3.23

=====

(4)
Here is an optimized crystal structure of La2HfGaN from the Alexandria database. Energies are from PBE.

Calculated values
VASP energy: -0.5132 Ry per atom
DOS at the Fermi energy: 1.156 states/eV per atom

Unit cell a=5.1719 b=5.1719 c=4.3396 alpha=90.00 beta=90.00 gamma=90.00
With the nearest neighbours (Å) after each atom.
Fractional positions:
N: 0.0000 0.0000 0.0000  2 Hf 2.17
Hf: 0.0000 0.0000 0.5000  2 N 2.17
La: 0.5000 0.0000 0.0000  2 N 2.59
La: 0.0000 0.5000 0.0000  2 N 2.59
Ga: 0.5000 0.5000 0.5000  8 La 3.38, 4 Hf 3.66

=====

DOS at the Fermi energy of number 2 (La2Hf2Ga)? 0.917 states/eV per atom

=====

Copy entry 1 word for word.
Here is an optimized crystal structure of LaHf2Ga from the Alexandria database. Energies are from PBE.

Calculated values
Energy of formation: 0.22 eV/atom
DOS at the Fermi energy: 1.685 states/eV per atom

Unit cell a=4.3721 b=4.3721 c=10.8201 alpha=78.34 beta=78.34 gamma=90.00
With the nearest neighbours (Å) after each atom.
Fractional positions:
Hf: 0.6111 0.1250 0.2500  2 Ga 3.00, 4 Hf 3.01-3.18, 2 La 3.04
Hf: 0.8750 0.8611 0.7500  2 Ga 3.00, 4 Hf 3.01-3.18, 2 La 3.04
La: 0.7500 0.2500 0.5000  4 Hf 3.04, 4 Ga 3.09
Hf: 0.1389 0.6250 0.2500  2 Ga 3.00, 4 Hf 3.01-3.18, 2 La 3.04
La: 0.0000 0.0000 0.0000  4 Hf 3.04, 4 Ga 3.09
Hf: 0.3750 0.3889 0.7500  2 Ga 3.00, 4 Hf 3.01-3.18, 2 La 3.04
Ga: 0.5000 0.5000 0.0000  4 Hf 3.00, 4 La 3.09
Ga: 0.2500 0.7500 0.5000  4 Hf 3.00, 4 La 3.09